Entry from Alexandria via LeMat-Bulk: a geometry-optimized FeIr6Rh5 structure (PBE).

Computed properties:
M_tot	2.378	μB/f.u.
mass density	16.8	g cm⁻³
formation energy	-15	meV per atom

Cell lengths 3.8440, 7.1879, 7.1879 Å; angles 106.59, 105.51, 105.51 degrees
Last column: nearest neighbours and their distance in Å.
Sites, in units of the cell vectors:
Fe: 0.0000 0.0000 0.0000  8 Ir 2.70, 4 Rh 2.71
Ir: 0.2478 0.4134 0.0823  1 Fe 2.70, 7 Rh 2.71-2.75, 4 Ir 2.71-2.74
Ir: 0.2542 0.7540 0.7540  6 Rh 2.68-2.74, 2 Fe 2.70, 4 Ir 2.71
Rh: 0.0000 0.6662 0.3338  4 Rh 2.71-2.73, 8 Ir 2.72-2.73
Rh: 0.5000 0.1653 0.8347  8 Ir 2.68-2.75, 2 Fe 2.71, 2 Rh 2.73
Rh: 0.5000 0.8347 0.1653  8 Ir 2.68-2.75, 2 Fe 2.71, 2 Rh 2.73
Ir: 0.7522 0.9177 0.5866  1 Fe 2.70, 7 Rh 2.71-2.75, 4 Ir 2.71-2.74
Ir: 0.7458 0.2460 0.2460  6 Rh 2.68-2.74, 2 Fe 2.70, 4 Ir 2.71
Ir: 0.7522 0.5866 0.9177  1 Fe 2.70, 7 Rh 2.71-2.75, 4 Ir 2.71-2.74
Rh: 0.5000 0.5000 0.5000  4 Rh 2.71, 8 Ir 2.72-2.74
Ir: 0.2478 0.0823 0.4134  1 Fe 2.70, 7 Rh 2.71-2.75, 4 Ir 2.71-2.74
Rh: 0.0000 0.3338 0.6662  4 Rh 2.71-2.73, 8 Ir 2.72-2.73

Entry from Alexandria via LeMat-Bulk: a geometry-optimized NaLiPS4 structure (PBE).

Computed properties:
M_tot	0.000	μB/f.u.
mass density	1.9	g cm⁻³
formation energy without anion corrections	-0.57	eV per atom

Cell lengths 6.7863, 6.7863, 7.9593 Å; angles 90.00, 90.00, 117.80 degrees
Last column: nearest neighbours and their distance in Å.
Sites, in units of the cell vectors:
S: 0.2378 0.7622 0.0379  1 P 2.06
S: 0.2378 0.7622 0.4621  1 P 2.06
Na: 0.5000 0.5000 0.0000  6 S 2.76-3.06
S: 0.7622 0.2378 0.5379  1 P 2.06
Na: 0.5000 0.5000 0.5000  6 S 2.76-3.06
P: 0.1362 0.8638 0.2500  4 S 2.03-2.06
S: 0.7622 0.2378 0.9621  1 P 2.06
S: 0.7372 0.7995 0.7500  1 P 2.03
S: 0.2628 0.2005 0.2500  1 P 2.03
P: 0.8638 0.1362 0.7500  4 S 2.03-2.06
Li: 0.1283 0.8717 0.7500  4 S 2.46-2.62
Li: 0.8717 0.1283 0.2500  4 S 2.46-2.62
S: 0.7995 0.7372 0.2500  1 P 2.03
S: 0.2005 0.2628 0.7500  1 P 2.03

Entry from Alexandria via LeMat-Bulk: a geometry-optimized K4RbBr2 structure (PBE).

Computed properties:
M_tot	0.000	μB/f.u.
mass density	1.4	g cm⁻³
formation energy without anion corrections	-0.56	eV per atom

Cell lengths 7.2119, 7.2119, 10.6428 Å; angles 70.20, 70.20, 90.00 degrees
Last column: nearest neighbours and their distance in Å.
Sites, in units of the cell vectors:
Rb: 0.0000 0.0000 0.0000  4 K 3.61
Br: 0.5973 0.5973 0.8054  1 K 3.04
K: 0.5000 0.0000 0.0000  2 Rb 3.61, 4 Br 4.04
K: 0.7602 0.7602 0.4796  1 Br 3.04
Br: 0.4027 0.4027 0.1946  1 K 3.04
K: 0.0000 0.5000 0.0000  2 Rb 3.61, 4 Br 4.04
K: 0.2398 0.2398 0.5204  1 Br 3.04

| no. | DOS at the Fermi energy (states/eV per cell) |
| --- | --- |
| 1 | 14.2 |
| 2 | 8.7 |
| 3 | 3.0 |